Below is HoScOs after structural relaxation, with properties calculated at the PBE-GGA level.

The magnetic moment is 0.000 μB per formula unit. For the formation energy, the calculation gives -0.364 eV per atom. As for the space group: P-62m, No. 189. The energy above the most stable polymorph in this dataset comes out at 0 meV/atom. The total energy is -7.744 eV/atom.

Cell: 7.3074 8.4063 8.4063 Å, 59.28 64.24 64.24°
Atoms (fractional coordinates):
Sc: 0.5019 0.6257 0.6258
Sc: 0.5019 0.1258 0.1257
Sc: 0.0048 0.5000 0.5000
Sc: 0.0048 0.0000 0.0000
Sc: 0.7533 0.3743 0.3742
Sc: 0.7533 0.8742 0.8743
Os: 0.7534 0.7500 0.2500
Os: 0.4201 0.8332 0.8334
Os: 0.4201 0.3334 0.3332
Os: 0.0866 0.6666 0.6668
Os: 0.7535 0.2500 0.7500
Os: 0.0866 0.1668 0.1666
Ho: 0.1670 0.0431 0.5431
Ho: 0.3395 0.2499 0.7499
Ho: 0.1671 0.5431 0.0431
Ho: 0.7531 0.9569 0.4569
Ho: 0.3394 0.7501 0.2501
Ho: 0.7533 0.4569 0.9569

Below is HoScSi2Os after structural relaxation, with properties calculated at the PBE-GGA level.

The uncorrected formation energy comes out at -0.72 eV per atom. The magnetic moment is 0.000 μB per formula unit. As for the space group: I-4m2, No. 119. The total energy is -7.317 eV/atom.

Cell: 4.0070 4.0070 6.2777 Å, 108.61 108.61 90.00°
Atoms (fractional coordinates):
Sc: 0.2500 0.7500 0.5000
Os: 0.7500 0.2500 0.5000
Si: 0.3952 0.3952 0.7905
Si: 0.6048 0.6048 0.2095
Ho: 0.0000 0.0000 0.0000